1.
{"formula": "PrScB12", "functional": "PBE", "state": "optimized geometry", "cell": [[4.112, 0.000, 0.000], [0.000, 4.112, 0.000], [0.000, 0.000, 8.215]], "species": ["Pr", "Sc", "B", "B", "B", "B", "B", "B", "B", "B", "B", "B", "B", "B"], "fractional_positions": [[0.000, 0.000, 0.000], [0.000, 0.000, 0.500], [0.199, 0.500, 0.253], [0.199, 0.500, 0.747], [0.500, 0.199, 0.253], [0.500, 0.199, 0.747], [0.500, 0.500, 0.101], [0.500, 0.500, 0.402], [0.500, 0.500, 0.598], [0.500, 0.500, 0.899], [0.500, 0.801, 0.253], [0.500, 0.801, 0.747], [0.801, 0.500, 0.253], [0.801, 0.500, 0.747]], "final_energy_ev_per_atom": -6.8606}

2.
{"formula": "AcPmAsP", "functional": "PBE", "state": "optimized geometry", "cell": [[0.000, 3.721, 3.721], [3.721, 0.000, 3.721], [3.721, 3.721, 0.000]], "species": ["Ac", "Pm", "As", "P"], "fractional_positions": [[0.000, 0.000, 0.000], [0.500, 0.500, 0.500], [0.250, 0.250, 0.250], [0.750, 0.750, 0.750]], "polymorph_energy_mev_per_atom": 245}

| no. | total magnetic moment (Bohr magnetons per cell) | ρ (g cm⁻³) |
| --- | --- | --- |
| 1 | 0.0 | 3.772 |
| 2 | 0.0 | 7.699 |